[1]
First-principles (PBE-GGA) data for a relaxed BeCrNi crystal, as listed in Alexandria.

Unit cell a=4.509 b=3.936 c=6.801 alpha=90.00 beta=90.00 gamma=90.00
Each line ends with the local moment (μB).
Fractional coordinates of all 12 atoms:
Ni 0.750 0.750 0.584  0.07
Ni 0.750 0.250 0.084  0.07
Ni 0.250 0.250 0.416  0.07
Ni 0.250 0.750 0.916  0.07
Be 0.750 0.250 0.417  -0.02
Be 0.750 0.750 0.917  -0.02
Be 0.250 0.750 0.583  -0.02
Be 0.250 0.250 0.083  -0.02
Cr 0.000 0.750 0.250  0.53
Cr 0.500 0.250 0.750  0.53
Cr 0.000 0.250 0.750  0.53
Cr 0.500 0.750 0.250  0.53

Properties
Distance to the lowest polymorph of the same formula in meV/atom: 69
Calculated density in g/cm3: 6.6
Symmetry: No. 63
N(E_F) in states/eV per cell: 10.02
DFT total energy in Ry/atom: -0.4755


[2]
First-principles (PBE-GGA) data for a relaxed TlCuRu2 crystal, as listed in Alexandria.

Unit cell a=3.929 b=3.929 c=9.749 alpha=78.37 beta=78.37 gamma=90.00
Fractional coordinates of all 8 atoms:
Ru 0.875 0.789 0.750
Ru 0.211 0.625 0.250
Ru 0.375 0.461 0.750
Ru 0.539 0.125 0.250
Tl 0.750 0.250 0.500
Tl 0.000 0.000 0.000
Cu 0.250 0.750 0.500
Cu 0.500 0.500 0.000

Properties
Distance to the lowest polymorph of the same formula in meV/atom: 357
Calculated density in g/cm3: 10.8
Symmetry: No. 122
N(E_F) in states/eV per cell: 5.66
DFT total energy in Ry/atom: -0.4058


[3]
First-principles (PBE-GGA) data for a relaxed SrVCo2W crystal, as listed in Alexandria.

Unit cell a=4.583 b=4.551 c=4.583 alpha=90.00 beta=90.00 gamma=90.00
Each line ends with the local moment (μB).
Fractional coordinates of all 5 atoms:
W 0.000 0.500 0.000  0.96
V 0.000 0.000 0.000  -0.47
Sr 0.500 0.500 0.500  0.02
Co 0.000 0.000 0.500  1.28
Co 0.500 0.000 0.000  0.87

Properties
Calculated density in g/cm3: 7.6
Symmetry: No. 123
N(E_F) in states/eV per cell: 3.64
DFT total energy in Ry/atom: -0.4836


[4]
First-principles (PBE-GGA) data for a relaxed Si2HgAu crystal, as listed in Alexandria.

Unit cell a=6.644 b=6.644 c=6.201 alpha=57.61 beta=57.61 gamma=90.00
Fractional coordinates of all 8 atoms:
Au 0.500 0.500 0.000
Au 0.250 0.750 0.500
Si 0.875 0.852 0.750
Si 0.602 0.125 0.250
Si 0.375 0.398 0.750
Si 0.148 0.625 0.250
Hg 0.000 0.000 0.000
Hg 0.750 0.250 0.500

Properties
Energy relative to the elements, uncorrected in meV per atom: 442
Calculated density in g/cm3: 8.4
Symmetry: No. 122
N(E_F) in states/eV per cell: 3.36
DFT total energy in Ry/atom: -0.2326


[5]
First-principles (PBE-GGA) data for a relaxed Ce8PuCd2 crystal, as listed in Alexandria.

Unit cell a=5.768 b=7.070 c=8.580 alpha=114.34 beta=109.64 gamma=90.00
Each line ends with the local moment (μB).
Fractional coordinates of all 11 atoms:
Ce 0.619 0.859 0.239  -0.07
Ce 0.380 0.621 0.760  -0.07
Ce 0.620 0.379 0.240  -0.07
Ce 0.000 0.741 0.999  0.39
Ce 0.859 0.860 0.719  0.41
Ce 0.000 0.259 0.001  0.39
Ce 0.141 0.140 0.281  0.41
Ce 0.381 0.141 0.761  -0.07
Cd 0.807 0.306 0.613  0.00
Cd 0.193 0.694 0.387  0.00
Pu 0.500 0.000 0.000  -3.12

Properties
Calculated density in g/cm3: 8.9
Symmetry: No. 71
N(E_F) in states/eV per cell: 27.97
DFT total energy in Ry/atom: -0.4247


[6]
First-principles (PBE-GGA) data for a relaxed CrReNi crystal, as listed in Alexandria.

Unit cell a=6.052 b=6.052 c=6.052 alpha=155.54 beta=155.54 gamma=34.87
Fractional coordinates of all 3 atoms:
Cr 0.991 0.991 0.000
Re 0.670 0.670 0.000
Ni 0.338 0.338 0.000

Properties
Distance to the lowest polymorph of the same formula in meV/atom: 85
Calculated density in g/cm3: 13.0
Symmetry: No. 107
N(E_F) in states/eV per cell: 3.94
DFT total energy in Ry/atom: -0.6716


The highest DFT total energy belongs to which entry? Si2HgAu


The highest DFT total energy belongs to which entry? Si2HgAu